[1]
The following is a PBE-GGA calculation of crystalline NaAlCd2 at its relaxed geometry, from the Alexandria database.

The structure in CIF format:
```
data_NaAlCd2
_chemical_formula_sum 'Na1 Al1 Cd2'
_symmetry_space_group_name_H-M 'P 1'
_symmetry_Int_Tables_number 1
_symmetry_space_group_name_Hall 'P 1'
_cell_length_a 3.170
_cell_length_b 3.170
_cell_length_c 10.422
_cell_angle_alpha 81.25
_cell_angle_beta 81.25
_cell_angle_gamma 60.00
loop_
_atom_site_label
_atom_site_fract_x
_atom_site_fract_y
_atom_site_fract_z
Al1 0.000 0.000 0.000
Na1 0.500 0.500 0.500
Cd1 0.745 0.745 0.766
Cd2 0.255 0.255 0.234
```

Properties
E_form = 0.070 eV/atom

=====

[2]
The following is a PBE-GGA calculation of crystalline Na12AlCd7 at its relaxed geometry, from the Alexandria database.

The structure in CIF format:
```
data_Na12AlCd7
_chemical_formula_sum 'Na12 Al1 Cd7'
_symmetry_space_group_name_H-M 'P 1'
_symmetry_Int_Tables_number 1
_symmetry_space_group_name_Hall 'P 1'
_cell_length_a 8.457
_cell_length_b 8.457
_cell_length_c 8.457
_cell_angle_alpha 102.99
_cell_angle_beta 102.99
_cell_angle_gamma 102.99
loop_
_atom_site_label
_atom_site_fract_x
_atom_site_fract_y
_atom_site_fract_z
Na1 0.334 0.324 0.082
Na2 0.766 0.233 0.496
Na3 0.496 0.766 0.233
Na4 0.666 0.676 0.918
Na5 0.767 0.504 0.234
Na6 0.234 0.767 0.504
Na7 0.504 0.234 0.767
Na8 0.233 0.496 0.766
Na9 0.324 0.082 0.334
Na10 0.676 0.918 0.666
Na11 0.082 0.334 0.324
Na12 0.918 0.666 0.676
Cd1 0.080 0.075 0.688
Cd2 0.688 0.080 0.075
Cd3 0.925 0.312 0.920
Cd4 0.920 0.925 0.312
Cd5 0.312 0.920 0.925
Cd6 0.075 0.688 0.080
Cd7 0.500 0.500 0.500
Al1 0.000 0.000 0.000
```

Properties
E_form = -0.039 eV/atom

=====

[3]
The following is a PBE-GGA calculation of crystalline Na3AlCd at its relaxed geometry, from the Alexandria database.

The structure in CIF format:
```
data_Na3AlCd
_chemical_formula_sum 'Na3 Al1 Cd1'
_symmetry_space_group_name_H-M 'P 1'
_symmetry_Int_Tables_number 1
_symmetry_space_group_name_Hall 'P 1'
_cell_length_a 5.704
_cell_length_b 5.704
_cell_length_c 5.704
_cell_angle_alpha 90.00
_cell_angle_beta 90.00
_cell_angle_gamma 90.00
loop_
_atom_site_label
_atom_site_fract_x
_atom_site_fract_y
_atom_site_fract_z
Na1 0.000 0.000 0.500
Na2 0.500 0.000 0.000
Na3 0.000 0.500 0.000
Al1 0.500 0.500 0.500
Cd1 0.000 0.000 0.000
```

Properties
E_form = 0.448 eV/atom
energy relative to the lowest polymorph listed for this composition = 51 meV per atom

=====

[4]
The following is a PBE-GGA calculation of crystalline NaAlCd at its relaxed geometry, from the Alexandria database.

The structure in CIF format:
```
data_NaAlCd
_chemical_formula_sum 'Na1 Al1 Cd1'
_symmetry_space_group_name_H-M 'P 1'
_symmetry_Int_Tables_number 1
_symmetry_space_group_name_Hall 'P 1'
_cell_length_a 3.084
_cell_length_b 3.084
_cell_length_c 7.405
_cell_angle_alpha 102.02
_cell_angle_beta 102.02
_cell_angle_gamma 90.00
loop_
_atom_site_label
_atom_site_fract_x
_atom_site_fract_y
_atom_site_fract_z
Al1 0.676 0.676 0.352
Cd1 0.322 0.322 0.644
Na1 0.002 0.002 0.005
```

Properties
E_form = 0.084 eV/atom
energy relative to the lowest polymorph listed for this composition = 40 meV per atom

=====

[5]
The following is a PBE-GGA calculation of crystalline NaAlCd4 at its relaxed geometry, from the Alexandria database.

The structure in CIF format:
```
data_NaAlCd4
_chemical_formula_sum 'Na1 Al1 Cd4'
_symmetry_space_group_name_H-M 'P 1'
_symmetry_Int_Tables_number 1
_symmetry_space_group_name_Hall 'P 1'
_cell_length_a 5.878
_cell_length_b 5.878
_cell_length_c 5.878
_cell_angle_alpha 60.00
_cell_angle_beta 60.00
_cell_angle_gamma 60.00
loop_
_atom_site_label
_atom_site_fract_x
_atom_site_fract_y
_atom_site_fract_z
Cd1 0.625 0.625 0.625
Cd2 0.124 0.625 0.625
Cd3 0.625 0.124 0.625
Cd4 0.625 0.625 0.124
Al1 0.250 0.250 0.250
Na1 0.000 0.000 0.000
```

Properties
E_form = 0.110 eV/atom

=====

[6]
The following is a PBE-GGA calculation of crystalline NaAl2Cd2 at its relaxed geometry, from the Alexandria database.

The structure in CIF format:
```
data_NaAl2Cd2
_chemical_formula_sum 'Na2 Al4 Cd4'
_symmetry_space_group_name_H-M 'P 1'
_symmetry_Int_Tables_number 1
_symmetry_space_group_name_Hall 'P 1'
_cell_length_a 8.649
_cell_length_b 8.649
_cell_length_c 2.980
_cell_angle_alpha 90.00
_cell_angle_beta 90.00
_cell_angle_gamma 90.00
loop_
_atom_site_label
_atom_site_fract_x
_atom_site_fract_y
_atom_site_fract_z
Cd1 0.656 0.156 0.000
Cd2 0.156 0.344 0.000
Cd3 0.344 0.844 0.000
Cd4 0.844 0.656 0.000
Al1 0.360 0.140 0.500
Al2 0.140 0.640 0.500
Al3 0.640 0.860 0.500
Al4 0.860 0.360 0.500
Na1 0.500 0.500 0.000
Na2 0.000 0.000 0.000
```

Properties
E_form = 0.102 eV/atom
energy relative to the lowest polymorph listed for this composition = 55 meV per atom

=====

[7]
The following is a PBE-GGA calculation of crystalline NaAlCd2 at its relaxed geometry, from the Alexandria database.

The structure in CIF format:
```
data_NaAlCd2
_chemical_formula_sum 'Na1 Al1 Cd2'
_symmetry_space_group_name_H-M 'P 1'
_symmetry_Int_Tables_number 1
_symmetry_space_group_name_Hall 'P 1'
_cell_length_a 4.164
_cell_length_b 4.596
_cell_length_c 4.596
_cell_angle_alpha 90.00
_cell_angle_beta 90.00
_cell_angle_gamma 90.00
loop_
_atom_site_label
_atom_site_fract_x
_atom_site_fract_y
_atom_site_fract_z
Al1 0.500 0.500 0.500
Cd1 0.000 0.000 0.500
Cd2 0.000 0.500 0.000
Na1 0.500 0.000 0.000
```

Properties
E_form = 0.059 eV/atom

=====

[8]
The following is a PBE-GGA calculation of crystalline NaAlCd at its relaxed geometry, from the Alexandria database.

The structure in CIF format:
```
data_NaAlCd
_chemical_formula_sum 'Na1 Al1 Cd1'
_symmetry_space_group_name_H-M 'P 1'
_symmetry_Int_Tables_number 1
_symmetry_space_group_name_Hall 'P 1'
_cell_length_a 3.307
_cell_length_b 4.886
_cell_length_c 4.886
_cell_angle_alpha 120.00
_cell_angle_beta 90.00
_cell_angle_gamma 90.00
loop_
_atom_site_label
_atom_site_fract_x
_atom_site_fract_y
_atom_site_fract_z
Cd1 0.166 0.000 0.000
Na1 0.667 0.333 0.667
Al1 0.168 0.667 0.333
```

Properties
E_form = 0.043 eV/atom
energy relative to the lowest polymorph listed for this composition = 0 meV per atom

=====

[9]
The following is a PBE-GGA calculation of crystalline Na2AlCd2 at its relaxed geometry, from the Alexandria database.

The structure in CIF format:
```
data_Na2AlCd2
_chemical_formula_sum 'Na4 Al2 Cd4'
_symmetry_space_group_name_H-M 'P 1'
_symmetry_Int_Tables_number 1
_symmetry_space_group_name_Hall 'P 1'
_cell_length_a 7.163
_cell_length_b 7.163
_cell_length_c 5.160
_cell_angle_alpha 90.00
_cell_angle_beta 90.00
_cell_angle_gamma 90.00
loop_
_atom_site_label
_atom_site_fract_x
_atom_site_fract_y
_atom_site_fract_z
Cd1 0.644 0.144 0.000
Cd2 0.144 0.356 0.000
Cd3 0.356 0.856 0.000
Cd4 0.856 0.644 0.000
Al1 0.500 0.500 0.000
Al2 0.000 0.000 0.000
Na1 0.173 0.673 0.500
Na2 0.673 0.827 0.500
Na3 0.827 0.327 0.500
Na4 0.327 0.173 0.500
```

Properties
E_form = 0.041 eV/atom
energy relative to the lowest polymorph listed for this composition = 0 meV per atom

=====

[10]
The following is a PBE-GGA calculation of crystalline NaAlCd2 at its relaxed geometry, from the Alexandria database.

The structure in CIF format:
```
data_NaAlCd2
_chemical_formula_sum 'Na2 Al2 Cd4'
_symmetry_space_group_name_H-M 'P 1'
_symmetry_Int_Tables_number 1
_symmetry_space_group_name_Hall 'P 1'
_cell_length_a 4.467
_cell_length_b 4.467
_cell_length_c 10.568
_cell_angle_alpha 77.80
_cell_angle_beta 77.80
_cell_angle_gamma 90.00
loop_
_atom_site_label
_atom_site_fract_x
_atom_site_fract_y
_atom_site_fract_z
Al1 0.750 0.250 0.500
Al2 0.000 0.000 0.000
Cd1 0.375 0.356 0.750
Cd2 0.875 0.894 0.750
Cd3 0.106 0.625 0.250
Cd4 0.644 0.125 0.250
Na1 0.500 0.500 0.000
Na2 0.250 0.750 0.500
```

Properties
E_form = 0.218 eV/atom

=====

[11]
The following is a PBE-GGA calculation of crystalline NaNdAlCd at its relaxed geometry, from the Alexandria database.

The structure in CIF format:
```
data_NaNdAlCd
_chemical_formula_sum 'Na1 Nd1 Al1 Cd1'
_symmetry_space_group_name_H-M 'P 1'
_symmetry_Int_Tables_number 1
_symmetry_space_group_name_Hall 'P 1'
_cell_length_a 5.246
_cell_length_b 5.246
_cell_length_c 5.246
_cell_angle_alpha 60.00
_cell_angle_beta 60.00
_cell_angle_gamma 60.00
loop_
_atom_site_label
_atom_site_fract_x
_atom_site_fract_y
_atom_site_fract_z
Cd1 0.750 0.750 0.750
Na1 0.500 0.500 0.500
Al1 0.250 0.250 0.250
Nd1 0.000 0.000 0.000
```

Properties
E_form = -0.129 eV/atom

=====

[12]
The following is a PBE-GGA calculation of crystalline NaAlCd2O4 at its relaxed geometry, from the Alexandria database.

The structure in CIF format:
```
data_NaAlCd2O4
_chemical_formula_sum 'Na1 Al1 Cd2 O4'
_symmetry_space_group_name_H-M 'P 1'
_symmetry_Int_Tables_number 1
_symmetry_space_group_name_Hall 'P 1'
_cell_length_a 5.174
_cell_length_b 5.174
_cell_length_c 5.718
_cell_angle_alpha 116.90
_cell_angle_beta 116.90
_cell_angle_gamma 90.00
loop_
_atom_site_label
_atom_site_fract_x
_atom_site_fract_y
_atom_site_fract_z
Na1 0.000 0.000 0.000
O1 0.817 0.406 0.223
O2 0.184 0.184 0.777
O3 0.406 0.817 0.223
O4 0.594 0.594 0.777
Cd1 0.750 0.250 0.500
Cd2 0.250 0.750 0.500
Al1 0.500 0.500 0.000
```

Properties
energy relative to the elements, uncorrected = -1368 kJ/mol of formula units